Entry from Alexandria via LeMat-Bulk: Rb3NbSe4 after structural relaxation (PBE).

Cell and atoms, written as POSCAR:
```
Rb3NbSe4
1.0
-3.7469 5.3351 4.0655
3.7469 -5.3351 4.0655
3.7469 5.3351 -4.0655
Rb Nb Se
3 1 4
Cartesian
0.0000 0.0000 0.0000 Rb
3.7469 2.7527 -0.6267 Rb
0.0000 2.5824 3.4388 Rb
3.7469 0.0000 4.0034 Nb
3.7469 -2.0330 2.6632 Se
3.7469 2.0330 2.6632 Se
1.9274 5.3351 1.3573 Se
1.8195 0.0000 5.4228 Se
```

* E_form (uncorrected): -1.038 eV per atom
* M_tot: 0.0000 μB/atom
* volume: 325 Å³ per cell
* space-group type: Imm2, No. 44

Entry from Alexandria via LeMat-Bulk: Rb3NbSe3 after structural relaxation (PBE).

Cell and atoms, written as POSCAR:
```
Rb3NbSe3
1.0
5.1638 -8.9141 0.0000
5.1638 8.9141 0.0000
0.0000 0.0000 7.0048
Rb Nb Se
6 2 6
Cartesian
5.1638 5.4950 5.2536 Rb
2.9819 1.7121 5.2536 Rb
2.9819 -1.7121 1.7512 Rb
7.3457 1.7121 5.2536 Rb
7.3457 -1.7121 1.7512 Rb
5.1638 -5.4950 1.7512 Rb
5.1638 2.9767 1.7512 Nb
5.1638 -2.9767 5.2536 Nb
3.0729 1.7665 1.7512 Se
5.1638 5.3930 1.7512 Se
3.0729 -1.7665 5.2536 Se
7.2546 1.7665 1.7512 Se
5.1638 -5.3930 5.2536 Se
7.2546 -1.7665 5.2536 Se
```

* E_form (uncorrected): -0.844 eV per atom
* M_tot: 0.0000 μB/atom
* volume: 645 Å³ per cell
* energy relative to the lowest polymorph listed for this composition: 127 meV/atom
* space-group type: Cmcm, No. 63

Entry from Alexandria via LeMat-Bulk: Rb2NbSe4 after structural relaxation (PBE).

Cell and atoms, written as POSCAR:
```
Rb2NbSe4
1.0
6.6595 -1.8441 0.0000
6.6595 1.8441 0.0000
-3.5095 0.0000 8.4539
Rb Nb Se
2 1 4
Cartesian
1.5902 0.0000 1.3883 Rb
8.2192 0.0000 7.0656 Rb
4.9047 0.0000 4.2269 Nb
0.0675 0.0000 4.4827 Se
5.1789 0.0000 1.6502 Se
4.6305 0.0000 6.8037 Se
9.7419 0.0000 3.9712 Se
```

* E_form (uncorrected): -0.795 eV per atom
* M_tot: 0.0001 μB/atom
* volume: 208 Å³ per cell
* energy relative to the lowest polymorph listed for this composition: 112 meV/atom
* space-group type: C2/m, No. 12

Entry from Alexandria via LeMat-Bulk: Rb2NbSe after structural relaxation (PBE).

Cell and atoms, written as POSCAR:
```
Rb2NbSe
1.0
-6.5387 6.5387 2.5351
6.5387 -6.5387 2.5351
6.5387 6.5387 -2.5351
Rb Nb Se
4 2 2
Cartesian
0.9459 3.2693 0.6338 Rb
-3.2693 5.5928 1.9013 Rb
-0.9459 9.8080 0.6338 Rb
3.2693 7.4846 1.9013 Rb
6.5387 0.0000 1.2675 Nb
0.0000 0.0000 2.5351 Nb
0.0000 0.0000 0.0000 Se
0.0000 6.5387 1.2675 Se
```

* E_form (uncorrected): 0.175 eV per atom
* M_tot: 0.8541 μB/atom
* volume: 434 Å³ per cell
* space-group type: I-42d, No. 122